# EuAl3Ag2

EuAl3Ag2 at its PBEsol-relaxed geometry (SCAN, the Alexandria database). Values from VASP.

Quantum ESPRESSO input file:
```
&SYSTEM
  ibrav = 0, nat = 6, ntyp = 3
/
ATOMIC_SPECIES
Eu 151.96 Eu.upf
Al 26.98 Al.upf
Ag 107.87 Ag.upf
CELL_PARAMETERS angstrom
5.5159 0.0000 0.0000
-2.7579 4.7769 0.0000
0.0000 0.0000 4.3454
ATOMIC_POSITIONS crystal
Eu 0.0000 0.0000 0.0000
Al 0.0000 0.5000 0.5000
Al 0.5000 0.0000 0.5000
Al 0.5000 0.5000 0.5000
Ag 0.3333 0.6667 0.0000
Ag 0.6667 0.3333 0.0000
```

Computed properties:
Crystal system ... hexagonal
Space-group type ... P6/mmm (191)
Total DFT energy (no corrections) ... -22.9745 eV/atom